First-principles (PBE) data for a geometry-optimized TaV3Re4 structure, as listed in Alexandria via LeMat-Bulk.

a = 3.086 Å, b = 3.086 Å, c = 12.331 Å
α = 90.00°, β = 90.00°, γ = 90.00°
Space group P4/mmm (No. 123)
Asymmetric unit:
Ta1 0.000 0.000 0.000 [1 per cell]
V1 0.000 0.000 0.256 [2 per cell]
V2 0.000 0.000 0.500 [1 per cell]
Re1 0.500 0.500 0.134 [2 per cell]
Re2 0.500 0.500 0.378 [2 per cell]

Its total energy is -11.47 eV/atom. As for the density of states at the Fermi level: 0.512 states/eV per atom. The formation energy comes out at -0.34 eV/atom.



First-principles (PBE) data for a geometry-optimized TaVRe2 structure, as listed in Alexandria via LeMat-Bulk.

a = 3.723 Å, b = 3.723 Å, c = 19.627 Å
α = 90.00°, β = 90.00°, γ = 90.00°
Space group I-42d (No. 122)
Asymmetric unit:
Ta1 0.000 0.000 0.000 [4 per cell]
V1 0.000 0.000 0.500 [4 per cell]
Re1 0.208 0.250 0.625 [8 per cell]

Its total energy is -10.72 eV/atom. As for the density of states at the Fermi level: 1.030 states/eV per atom. The formation energy comes out at 0.74 eV/atom.



First-principles (PBE) data for a geometry-optimized TaV14Re structure, as listed in Alexandria via LeMat-Bulk.

a = 6.087 Å, b = 8.541 Å, c = 8.548 Å
α = 90.00°, β = 90.00°, γ = 90.00°
Space group Cmmm (No. 65)
Asymmetric unit:
Ta1 0.000 0.000 0.000 [2 per cell]
V1 0.000 0.000 0.500 [2 per cell]
V2 0.000 0.248 0.257 [8 per cell]
V3 0.000 0.500 0.500 [2 per cell]
V4 0.245 0.500 0.257 [8 per cell]
V5 0.250 0.250 0.000 [4 per cell]
V6 0.250 0.250 0.500 [4 per cell]
Re1 0.000 0.500 0.000 [2 per cell]

Its total energy is -9.55 eV/atom. As for the density of states at the Fermi level: 1.664 states/eV per atom. The formation energy comes out at -0.05 eV/atom.



First-principles (PBE) data for a geometry-optimized TaV3Re structure, as listed in Alexandria via LeMat-Bulk.

a = 4.488 Å, b = 4.488 Å, c = 4.488 Å
α = 90.00°, β = 90.00°, γ = 90.00°
Space group Pm-3m (No. 221)
Asymmetric unit:
Ta1 0.000 0.000 0.000 [1 per cell]
V1 0.000 0.000 0.500 [3 per cell]
Re1 0.500 0.500 0.500 [1 per cell]

Its total energy is -8.47 eV/atom. As for the density of states at the Fermi level: 1.501 states/eV per atom. The formation energy comes out at 1.86 eV/atom.



First-principles (PBE) data for a geometry-optimized Ta4VRe2 structure, as listed in Alexandria via LeMat-Bulk.

a = 6.306 Å, b = 6.306 Å, c = 6.300 Å
α = 90.00°, β = 90.00°, γ = 90.00°
Space group I4/mmm (No. 139)
Asymmetric unit:
Ta1 0.250 0.250 0.250 [8 per cell]
V1 0.000 0.000 0.000 [2 per cell]
Re1 0.000 0.500 0.000 [4 per cell]

Its total energy is -11.60 eV/atom. As for the density of states at the Fermi level: 0.710 states/eV per atom. The formation energy comes out at 0.03 eV/atom.



First-principles (PBE) data for a geometry-optimized TaV6Re5 structure, as listed in Alexandria via LeMat-Bulk.

a = 4.329 Å, b = 6.113 Å, c = 12.957 Å
α = 90.00°, β = 90.00°, γ = 90.00°
Space group Immm (No. 71)
Asymmetric unit:
Ta1 0.000 0.000 0.000 [2 per cell]
V1 0.000 0.246 0.500 [4 per cell]
V2 0.000 0.252 0.168 [8 per cell]
Re1 0.000 0.000 0.333 [4 per cell]
Re2 0.000 0.500 0.000 [2 per cell]
Re3 0.000 0.500 0.333 [4 per cell]

Its total energy is -11.06 eV/atom. As for the density of states at the Fermi level: 0.432 states/eV per atom. The formation energy comes out at -0.32 eV/atom.



Question: What is the formula in the fourth record?
Answer: TaV3Re